1.
The following is a PBE-GGA calculation of a relaxed CuP2Cl crystal, from Alexandria.

Computed properties:
Polymorph energy (0 for the lowest one) = 164.2 meV/atom
Uncorrected formation energy = -4.1 kJ/mol of formula units
Calculated volume = 179.2 Å³/cell
Total moment = 0.000 Bohr magnetons per cell

a = 9.1460 Å, b = 3.3031 Å, c = 5.9339 Å
α = 90.00°, β = 90.94°, γ = 90.00°
Space group Cm (No. 8)
Unique sites:
Cu 0.0000 0.0000 0.0000 [2 per cell]
P 0.3318 0.5000 0.2777 [2 per cell]
P 0.4874 0.0000 0.3096 [2 per cell]
Cl 0.1702 0.0000 0.7582 [2 per cell]

2.
The following is a PBE-GGA calculation of a relaxed CuP2Cl crystal, from Alexandria.

Computed properties:
Polymorph energy (0 for the lowest one) = 240.2 meV/atom
Uncorrected formation energy = 25.2 kJ/mol of formula units
Calculated volume = 72.1 Å³/cell
Total moment = 0.000 Bohr magnetons per cell

a = 3.4237 Å, b = 4.4192 Å, c = 5.0255 Å
α = 90.00°, β = 108.55°, γ = 90.00°
Space group P2/m (No. 10)
Unique sites:
Cu 0.0000 0.0000 0.0000 [1 per cell]
P 0.3229 0.5000 0.1512 [2 per cell]
Cl 0.0000 0.0000 0.5000 [1 per cell]

3.
The following is a PBE-GGA calculation of a relaxed CuP2Cl6 crystal, from Alexandria.

Computed properties:
Uncorrected formation energy = -422.7 kJ/mol of formula units
Calculated volume = 1219.8 Å³/cell
Total moment = 0.000 Bohr magnetons per cell

a = 10.5800 Å, b = 11.2158 Å, c = 10.3322 Å
α = 90.00°, β = 95.79°, γ = 90.00°
Space group C2/c (No. 15)
Unique sites:
Cu 0.0000 0.0522 0.2500 [4 per cell]
P 0.1130 0.4464 0.7644 [8 per cell]
Cl 0.1339 0.3058 0.6421 [8 per cell]
Cl 0.1349 0.0535 0.1161 [8 per cell]
Cl 0.1349 0.4079 0.1496 [8 per cell]

4.
The following is a PBE-GGA calculation of a relaxed CuPCl6 crystal, from Alexandria.

Computed properties:
Uncorrected formation energy = -344.8 kJ/mol of formula units
Calculated volume = 232.1 Å³/cell
Total moment = 0.000 Bohr magnetons per cell

a = 6.7747 Å, b = 6.8411 Å, c = 6.8462 Å
α = 62.97°, β = 61.21°, γ = 60.55°
Space group P-1 (No. 2)
Unique sites:
Cu 0.0000 0.0000 0.0000 [1 per cell]
P 0.5000 0.0000 0.5000 [1 per cell]
Cl 0.1819 0.2369 0.7201 [2 per cell]
Cl 0.2954 0.1012 0.2902 [2 per cell]
Cl 0.3746 0.7090 0.7253 [2 per cell]

5.
The following is a PBE-GGA calculation of a relaxed CuPCl crystal, from Alexandria.

Computed properties:
Polymorph energy (0 for the lowest one) = 319.2 meV/atom
Uncorrected formation energy = -5.8 kJ/mol of formula units
Calculated volume = 118.3 Å³/cell
Total moment = 0.000 Bohr magnetons per cell

a = 3.3833 Å, b = 3.3833 Å, c = 10.3385 Å
α = 90.00°, β = 90.00°, γ = 90.00°
Space group I4mm (No. 107)
Unique sites:
Cu 0.0000 0.0000 0.0000 [2 per cell]
P 0.0000 0.0000 0.4694 [2 per cell]
Cl 0.0000 0.0000 0.2633 [2 per cell]

6.
The following is a PBE-GGA calculation of a relaxed CuP2Cl crystal, from Alexandria.

Computed properties:
Polymorph energy (0 for the lowest one) = 561.0 meV/atom
Uncorrected formation energy = 149.0 kJ/mol of formula units
Calculated volume = 150.3 Å³/cell
Total moment = 0.000 Bohr magnetons per cell

a = 3.6616 Å, b = 3.6751 Å, c = 11.1706 Å
α = 90.00°, β = 90.00°, γ = 90.00°
Space group Cmmm (No. 65)
Unique sites:
Cu 0.0000 0.0000 0.0000 [2 per cell]
P 0.0000 0.5000 0.1648 [4 per cell]
Cl 0.0000 0.0000 0.5000 [2 per cell]

7.
The following is a PBE-GGA calculation of a relaxed CuP2Cl crystal, from Alexandria.

Computed properties:
Polymorph energy (0 for the lowest one) = 933.7 meV/atom
Uncorrected formation energy = 292.9 kJ/mol of formula units
Calculated volume = 62.6 Å³/cell
Total moment = 0.000 Bohr magnetons per cell

a = 4.8414 Å, b = 4.8414 Å, c = 2.6727 Å
α = 90.00°, β = 90.00°, γ = 90.00°
Space group P4/mmm (No. 123)
Unique sites:
Cu 0.0000 0.0000 0.0000 [1 per cell]
P 0.0000 0.5000 0.5000 [2 per cell]
Cl 0.5000 0.5000 0.0000 [1 per cell]

8.
The following is a PBE-GGA calculation of a relaxed CuP2Cl crystal, from Alexandria.

Computed properties:
Polymorph energy (0 for the lowest one) = 631.9 meV/atom
Uncorrected formation energy = 176.4 kJ/mol of formula units
Calculated volume = 161.4 Å³/cell
Total moment = 0.000 Bohr magnetons per cell

a = 4.3928 Å, b = 13.8340 Å, c = 2.6566 Å
α = 90.00°, β = 90.00°, γ = 90.00°
Space group Cmmm (No. 65)
Unique sites:
Cu 0.0000 0.0000 0.0000 [2 per cell]
P 0.2500 0.2500 0.5000 [4 per cell]
Cl 0.0000 0.5000 0.0000 [2 per cell]

9.
The following is a PBE-GGA calculation of a relaxed CuPCl crystal, from Alexandria.

Computed properties:
Polymorph energy (0 for the lowest one) = 1149.8 meV/atom
Uncorrected formation energy = 234.6 kJ/mol of formula units
Calculated volume = 232.4 Å³/cell
Total moment = 0.002 Bohr magnetons per cell

a = 6.1480 Å, b = 6.1480 Å, c = 6.1480 Å
α = 90.00°, β = 90.00°, γ = 90.00°
Space group F-43m (No. 216)
Unique sites:
Cu 0.0000 0.0000 0.0000 [4 per cell]
P 0.2500 0.2500 0.2500 [4 per cell]
Cl 0.0000 0.0000 0.5000 [4 per cell]

10.
The following is a PBE-GGA calculation of a relaxed CuP2Cl crystal, from Alexandria.

Computed properties:
Polymorph energy (0 for the lowest one) = 266.2 meV/atom
Uncorrected formation energy = 35.2 kJ/mol of formula units
Calculated volume = 143.8 Å³/cell
Total moment = 0.000 Bohr magnetons per cell

a = 3.3568 Å, b = 3.6254 Å, c = 11.8169 Å
α = 90.00°, β = 90.00°, γ = 90.00°
Space group Imm2 (No. 44)
Unique sites:
Cu 0.0000 0.0000 0.0000 [2 per cell]
P 0.0000 0.0000 0.4745 [2 per cell]
P 0.0000 0.5000 0.8494 [2 per cell]
Cl 0.0000 0.5000 0.1822 [2 per cell]

11.
The following is a PBE-GGA calculation of a relaxed CuP2Cl crystal, from Alexandria.

Computed properties:
Polymorph energy (0 for the lowest one) = 16.5 meV/atom
Uncorrected formation energy = -61.1 kJ/mol of formula units
Calculated volume = 86.8 Å³/cell
Total moment = 0.000 Bohr magnetons per cell

a = 4.2108 Å, b = 3.2749 Å, c = 6.5335 Å
α = 90.00°, β = 105.63°, γ = 90.00°
Space group Pm (No. 6)
Unique sites:
Cu 0.0000 0.0000 0.0000 [1 per cell]
P 0.3604 0.5000 0.2967 [1 per cell]
P 0.5693 0.0000 0.1572 [1 per cell]
Cl 0.8983 0.5000 0.7382 [1 per cell]

12.
The following is a PBE-GGA calculation of a relaxed CuP4Cl2 crystal, from Alexandria.

Computed properties:
Uncorrected formation energy = 325.1 kJ/mol of formula units
Calculated volume = 393.6 Å³/cell
Total moment = 1.658 Bohr magnetons per cell

a = 4.1837 Å, b = 4.1837 Å, c = 22.4876 Å
α = 90.00°, β = 90.00°, γ = 90.00°
Space group I4/mmm (No. 139)
Unique sites:
Cu 0.0000 0.0000 0.0000 [2 per cell]
P 0.0000 0.0000 0.2554 [4 per cell]
P 0.0000 0.5000 0.0000 [4 per cell]
Cl 0.0000 0.0000 0.3463 [4 per cell]

One value per record, in order, for total energy: -4.201, -4.125, -3.375, -3.020, -3.804, -3.805, -3.432, -3.734, -2.974, -4.099, -4.349, -3.723 eV/atom.